# 1
Material: NiAg2Br
Method: DFT, PBE
State: optimized geometry

D(E_F) in states/eV per atom: 0.55
Formation energy (no corrections) in kJ/mol of atoms: 15.6
Total DFT energy (no corrections) in eV/atom: -3.13
Excess energy over the best structure of this formula in the dataset in eV/f.u.: 0.000
Mass density in g/cm³: 7.50

Cell lengths 3.6207, 3.2895, 6.7786 Å; angles 90.00, 103.71, 90.00 degrees
With the nearest neighbours (Å) after each atom.
Space group Pm (No. 6)
Asymmetric unit:
Ni  0.0000  0.0000  0.0000 x1  2 Br 2.40
Ag  0.4237  0.5000  0.8230 x1  4 Ni 2.70-2.72, 4 Ag 2.88
Ag  0.8204  0.0000  0.5920 x1  1 Ni 2.69, 4 Ag 2.88
Br  0.1333  0.5000  0.2644 x1  2 Ni 2.40


# 2
Material: KPW2
Method: DFT, PBE
State: optimized geometry

D(E_F) in states/eV per atom: 0.86
Formation enthalpy at 0 K in eV per atom: 1.301
Total DFT energy (no corrections) in eV/atom: -6.80
Excess energy over the best structure of this formula in the dataset in eV/f.u.: 3.506
Mass density in g/cm³: 10.46

Cell lengths 6.5270, 6.5270, 6.5270 Å; angles 90.00, 90.00, 90.00 degrees
With the nearest neighbours (Å) after each atom.
Space group F-43m (No. 216)
Asymmetric unit:
K  0.0000  0.0000  0.0000 x4  4 W 2.83, 4 P 2.83
P  0.2500  0.2500  0.2500 x4  4 W 2.83, 4 K 2.83
W  0.0000  0.0000  0.5000 x4  4 W 2.83, 4 P 2.83
W  0.2500  0.2500  0.7500 x4  4 W 2.83, 4 K 2.83


# 3
Material: Dy2Y7Er
Method: DFT, PBE
State: optimized geometry

D(E_F) in states/eV per atom: 1.44
Formation enthalpy at 0 K in eV per atom: 0.701
Total DFT energy (no corrections) in eV/atom: -5.20
Excess energy over the best structure of this formula in the dataset in eV/f.u.: 5.837
Mass density in g/cm³: 4.69

Cell lengths 8.7817, 16.1123, 5.5773 Å; angles 90.00, 90.00, 90.00 degrees
With the nearest neighbours (Å) after each atom.
Space group Cmmm (No. 65)
Asymmetric unit:
Dy  0.0000  0.2038  0.0000 x4  7 Y 3.07-3.33
Y  0.0000  0.0000  0.0000 x2  2 Dy 3.28, 4 Y 3.38
Y  0.0000  0.2840  0.5000 x4  2 Dy 3.07
Y  0.1770  0.3863  0.0000 x8  2 Y 3.11-3.38, 2 Dy 3.19-3.33
Er  0.0000  0.5000  0.5000 x2  10 Y 3.48-3.68


# 4
Material: RbSeBr2F
Method: DFT, PBE
State: optimized geometry

D(E_F) in states/eV per atom: 0.83
Formation energy (no corrections) in kJ/mol of atoms: -62.6
Total DFT energy (no corrections) in eV/atom: -2.58
Excess energy over the best structure of this formula in the dataset in eV/f.u.: 1.885
Mass density in g/cm³: 3.84

Cell lengths 6.1160, 6.1160, 3.9696 Å; angles 90.00, 90.00, 90.00 degrees
With the nearest neighbours (Å) after each atom.
Space group P4/mmm (No. 123)
Asymmetric unit:
Rb  0.0000  0.0000  0.0000 x1  8 Br 3.65, 2 Rb 3.97
Se  0.5000  0.5000  0.0000 x1  2 F 1.98
Br  0.0000  0.5000  0.5000 x2  2 F 3.06
F  0.5000  0.5000  0.5000 x1  2 Se 1.98


# 5
Material: LiSe
Method: DFT, PBE
State: optimized geometry

D(E_F) in states/eV per atom: 1.07
Formation energy (no corrections) in kJ/mol of atoms: -36.6
Total DFT energy (no corrections) in eV/atom: -3.08
Excess energy over the best structure of this formula in the dataset in eV/f.u.: 1.059
Mass density in g/cm³: 2.88

Cell lengths 5.8279, 5.8279, 5.8279 Å; angles 90.00, 90.00, 90.00 degrees
With the nearest neighbours (Å) after each atom.
Space group F-43m (No. 216)
Asymmetric unit:
Li  0.0000  0.0000  0.0000 x4  4 Se 2.52
Se  0.2500  0.2500  0.7500 x4  4 Li 2.52


# 6
Material: TaTc2Se
Method: DFT, PBE
State: optimized geometry

D(E_F) in states/eV per atom: 1.06
Formation energy (no corrections) in kJ/mol of atoms: 11.2
Total DFT energy (no corrections) in eV/atom: -8.90
Mass density in g/cm³: 11.88

Cell lengths 2.9744, 4.0999, 5.2241 Å; angles 90.00, 90.00, 90.00 degrees
With the nearest neighbours (Å) after each atom.
Space group Pmm2 (No. 25)
Asymmetric unit:
Ta  0.0000  0.0000  0.0000 x1  2 Tc 2.55-2.68
Tc  0.0000  0.0000  0.4878 x1  2 Ta 2.55-2.68, 4 Tc 2.80, 4 Se 2.85
Tc  0.5000  0.5000  0.2574 x1  2 Se 2.51-2.72, 4 Tc 2.80
Se  0.5000  0.5000  0.7371 x1  2 Tc 2.51-2.72


# 7
Material: RbOsW3
Method: DFT, PBE
State: optimized geometry

D(E_F) in states/eV per atom: 1.46
Formation enthalpy at 0 K in eV per atom: 2.168
Total DFT energy (no corrections) in eV/atom: -8.04
Excess energy over the best structure of this formula in the dataset in eV/f.u.: 0.000
Mass density in g/cm³: 11.56

Cell lengths 4.9163, 4.9163, 4.9163 Å; angles 90.00, 90.00, 90.00 degrees
With the nearest neighbours (Å) after each atom.
Space group Pm-3m (No. 221)
Asymmetric unit:
Rb  0.0000  0.0000  0.0000 x1  12 W 3.48
Os  0.5000  0.5000  0.5000 x1  6 W 2.46
W  0.0000  0.5000  0.5000 x3  2 Os 2.46


# 8
Material: Ti3GaH2
Method: DFT, PBE
State: optimized geometry

D(E_F) in states/eV per atom: 0.93
Total DFT energy (no corrections) in eV/atom: -5.84
Excess energy over the best structure of this formula in the dataset in eV/f.u.: 0.940
Mass density in g/cm³: 4.86

Cell lengths 20.5362, 2.8466, 5.2045 Å; angles 90.00, 104.48, 90.00 degrees
With the nearest neighbours (Å) after each atom.
Space group C2/m (No. 12)
Asymmetric unit:
Ti  0.0297  0.0000  0.2696 x4  2 H 1.88-1.94
Ti  0.1039  0.5000  0.8579 x4  3 H 1.90-1.95
Ti  0.2399  0.0000  0.7528 x4  3 H 1.87-1.90
Ga  0.1456  0.5000  0.3881 x4  7 Ti 2.63-2.79, 1 H 2.66, 2 Ga 2.85
H  0.0550  0.0000  0.6539 x4  4 Ti 1.88-1.94
H  0.2014  0.5000  0.9074 x4  4 Ti 1.87-1.95


# 9
Material: PmSmPu2Te5
Method: DFT, PBE
State: optimized geometry

D(E_F) in states/eV per atom: 3.64
Formation energy (no corrections) in kJ/mol of atoms: -62.3
Total DFT energy (no corrections) in eV/atom: -6.63
Mass density in g/cm³: 6.31

Cell lengths 5.6305, 5.6305, 11.7951 Å; angles 90.00, 90.00, 90.00 degrees
With the nearest neighbours (Å) after each atom.
Space group P4/mmm (No. 123)
Asymmetric unit:
Pm  0.0000  0.0000  0.0000 x1  2 Te 2.90
Sm  0.0000  0.0000  0.5000 x1  6 Te 2.82-3.00
Pu  0.5000  0.5000  0.3285 x2  5 Te 3.47-3.87
Te  0.0000  0.0000  0.2456 x2  1 Pm 2.90, 1 Sm 3.00
Te  0.0000  0.5000  0.5000 x2  2 Sm 2.82
Te  0.5000  0.5000  0.0000 x1  2 Pu 3.87, 4 Pm 3.98


# 10
Material: Nd12SmTh5
Method: DFT, PBE
State: optimized geometry

D(E_F) in states/eV per atom: 1.44
Formation enthalpy at 0 K in eV per atom: 0.037
Total DFT energy (no corrections) in eV/atom: -5.46
Mass density in g/cm³: 8.18

Cell lengths 15.4298, 15.5559, 5.1453 Å; angles 90.00, 90.00, 90.00 degrees
With the nearest neighbours (Å) after each atom.
Space group Cmmm (No. 65)
Asymmetric unit:
Nd  0.0000  0.1579  0.0000 x4  4 Th 3.56, 8 Nd 3.63-3.84
Nd  0.0000  0.3380  0.5000 x4  2 Sm 3.60, 2 Th 3.61, 8 Nd 3.65-3.80
Nd  0.1659  0.1586  0.5000 x8  4 Th 3.56, 8 Nd 3.63-3.85
Nd  0.1679  0.3404  0.0000 x8  3 Th 3.55-3.58, 1 Sm 3.59, 8 Nd 3.63-3.84
Sm  0.0000  0.5000  0.0000 x2  8 Nd 3.59-3.60, 4 Th 3.65
Th  0.0000  0.0000  0.5000 x2  8 Nd 3.56, 4 Th 3.64
Th  0.1673  0.0000  0.0000 x4  8 Nd 3.55-3.56, 4 Th 3.62-3.64
Th  0.1674  0.5000  0.5000 x4  8 Nd 3.56-3.61, 2 Th 3.62, 2 Sm 3.65


# 11
Material: SnSeBr
Method: DFT, PBE
State: optimized geometry

D(E_F) in states/eV per atom: 0.37
Formation energy (no corrections) in kJ/mol of atoms: -44.3
Total DFT energy (no corrections) in eV/atom: -3.51
Mass density in g/cm³: 4.91

Cell lengths 4.0605, 4.0624, 13.0730 Å; angles 87.64, 82.93, 61.40 degrees
With the nearest neighbours (Å) after each atom.
Space group P-1 (No. 2)
Asymmetric unit:
Sn  0.0324  0.1264  0.2112 x2  3 Se 2.78-2.82, 3 Br 3.00-3.08
Se  0.2515  0.2155  0.9054 x2  3 Sn 2.78-2.82
Br  0.3185  0.4854  0.3570 x2  3 Sn 3.00-3.08


# 12
Material: Li2ZnP
Method: DFT, PBE
State: optimized geometry

D(E_F) in states/eV per atom: 0.27
Formation enthalpy at 0 K in eV per atom: -0.233
Total DFT energy (no corrections) in eV/atom: -2.86
Excess energy over the best structure of this formula in the dataset in eV/f.u.: 0.639
Mass density in g/cm³: 3.18

Cell lengths 3.0238, 3.0238, 6.2879 Å; angles 90.00, 90.00, 90.00 degrees
With the nearest neighbours (Å) after each atom.
Space group P4/mmm (No. 123)
Asymmetric unit:
Li  0.0000  0.0000  0.2229 x2  4 P 2.56, 4 Zn 2.76, 1 Li 2.80
Zn  0.5000  0.5000  0.5000 x1  8 Li 2.76, 4 Zn 3.02
P  0.5000  0.5000  0.0000 x1  8 Li 2.56